TiNiPt: relaxed, PBE.

Unit cell a=4.2425 b=4.2425 c=2.7028 alpha=90.00 beta=90.00 gamma=120.00
Positions (direct):
Ti 0.0000 0.0000 0.0000
Ni 0.3333 0.6667 0.8603
Pt 0.6667 0.3333 0.4353

Output
**Space-group type**: P3m1 (156)
**Energy of formation from the pure elements**: -1.8 eV/f.u.